# 1
VASP calculation (GGA-PBE) on a geometry-optimized SrTiSi structure.

Calculated values
As for the uncorrected formation energy: 1 meV per atom. For the total energy, the calculation gives -4.999 eV/atom. The density of states at the Fermi level comes out at 0.934 states/eV per atom.

a = 11.312 Å, b = 5.045 Å, c = 5.043 Å
α = 90.00°, β = 90.00°, γ = 90.00°
Sites, in units of the cell vectors:
Sr: 0.177 0.000 0.000
Sr: 0.177 0.500 0.500
Sr: 0.823 0.000 0.000
Sr: 0.823 0.500 0.500
Ti: 0.407 0.000 0.501
Ti: 0.407 0.500 0.001
Ti: 0.593 0.000 0.501
Ti: 0.593 0.500 0.001
Si: 0.000 0.000 0.500
Si: 0.000 0.500 0.000
Si: 0.500 0.000 0.001
Si: 0.500 0.500 0.501

# 2
VASP calculation (GGA-PBE) on a geometry-optimized Ta2Ti5ZnFe2 structure.

Calculated values
For the total energy, the calculation gives -8.236 eV/atom. The density of states at the Fermi level comes out at 1.189 states/eV per atom. The formation enthalpy at 0 K is -2.270 kcal/mol of atoms.

a = 10.256 Å, b = 10.256 Å, c = 3.011 Å
α = 90.00°, β = 90.00°, γ = 90.00°
Sites, in units of the cell vectors:
Ta: 0.176 0.324 0.000
Ta: 0.324 0.824 0.000
Ta: 0.676 0.176 0.000
Ta: 0.824 0.676 0.000
Ti: 0.000 0.500 0.500
Ti: 0.059 0.793 0.500
Ti: 0.207 0.059 0.500
Ti: 0.293 0.559 0.500
Ti: 0.441 0.293 0.500
Ti: 0.500 0.000 0.500
Ti: 0.559 0.707 0.500
Ti: 0.707 0.441 0.500
Ti: 0.793 0.941 0.500
Ti: 0.941 0.207 0.500
Zn: 0.000 0.000 0.000
Zn: 0.500 0.500 0.000
Fe: 0.131 0.631 0.000
Fe: 0.369 0.131 0.000
Fe: 0.631 0.869 0.000
Fe: 0.869 0.369 0.000

# 3
VASP calculation (GGA-PBE) on a geometry-optimized Ho3Al2Ga2 structure.

Calculated values
For the total energy, the calculation gives -4.401 eV/atom. The density of states at the Fermi level comes out at 0.695 states/eV per atom. The formation enthalpy at 0 K is -11.640 kcal/mol of atoms.

a = 3.811 Å, b = 4.332 Å, c = 19.082 Å
α = 90.00°, β = 90.00°, γ = 90.00°
Sites, in units of the cell vectors:
Ho: 0.000 0.000 0.000
Ho: 0.000 0.500 0.192
Ho: 0.000 0.500 0.808
Ho: 0.500 0.000 0.308
Ho: 0.500 0.000 0.692
Ho: 0.500 0.500 0.500
Al: 0.000 0.500 0.360
Al: 0.000 0.500 0.640
Al: 0.500 0.000 0.140
Al: 0.500 0.000 0.860
Ga: 0.000 0.000 0.434
Ga: 0.000 0.000 0.566
Ga: 0.500 0.500 0.066
Ga: 0.500 0.500 0.934

# 4
VASP calculation (GGA-PBE) on a geometry-optimized Sr2ZrAg2 structure.

Calculated values
For the total energy, the calculation gives -3.444 eV/atom. The density of states at the Fermi level comes out at 0.646 states/eV per atom. The formation enthalpy at 0 K is 1.808 kcal/mol of atoms.

a = 7.616 Å, b = 7.616 Å, c = 5.077 Å
α = 90.00°, β = 90.00°, γ = 90.00°
Sites, in units of the cell vectors:
Sr: 0.175 0.325 0.000
Sr: 0.325 0.825 0.000
Sr: 0.675 0.175 0.000
Sr: 0.825 0.675 0.000
Zr: 0.000 0.000 0.500
Zr: 0.500 0.500 0.500
Ag: 0.134 0.634 0.500
Ag: 0.366 0.134 0.500
Ag: 0.634 0.866 0.500
Ag: 0.866 0.366 0.500

# 5
VASP calculation (GGA-PBE) on a geometry-optimized MgTaAl2 structure.

Calculated values
For the total energy, the calculation gives -5.308 eV/atom. The density of states at the Fermi level comes out at 0.484 states/eV per atom. The formation enthalpy at 0 K is -1.724 kcal/mol of atoms.

a = 2.985 Å, b = 3.996 Å, c = 5.872 Å
α = 90.00°, β = 90.00°, γ = 90.00°
Sites, in units of the cell vectors:
Mg: 0.000 0.000 0.000
Ta: 0.000 0.000 0.500
Al: 0.500 0.500 0.265
Al: 0.500 0.500 0.735

# 6
VASP calculation (GGA-PBE) on a geometry-optimized SmY3Ho7 structure.

Calculated values
For the total energy, the calculation gives -4.949 eV/atom. The value obtained for the offset from the most stable computed form is 0.00 eV per formula unit. The density of states at the Fermi level comes out at 1.679 states/eV per atom. The formation enthalpy at 0 K is 3.598 kcal/mol of atoms.

a = 6.974 Å, b = 5.528 Å, c = 9.895 Å
α = 90.00°, β = 110.48°, γ = 90.00°
Sites, in units of the cell vectors:
Sm: 0.000 0.000 0.000
Y: 0.279 0.500 0.499
Y: 0.500 0.000 0.000
Y: 0.721 0.500 0.501
Ho: 0.000 0.000 0.500
Ho: 0.145 0.500 0.792
Ho: 0.323 0.500 0.142
Ho: 0.417 0.000 0.331
Ho: 0.583 0.000 0.669
Ho: 0.677 0.500 0.858
Ho: 0.855 0.500 0.208